(1)
Ho2ErScP4: relaxed, PBE.

Calculated values
The value obtained for the total energy is -54.24 eV per cell. As for the magnetization: 0.0 μB per formula unit. The calculated volume comes out at 171.41 Å³/cell.

a b c (Å): 6.8002 3.9310 6.8017
angles (deg): 90.00 109.48 90.00
Last column: nearest neighbours and their distance in Å.
Space group P2/m (No. 10)
Asymmetric unit:
Ho 0.0000 0.0000 0.0000 [1 per cell]  6 P 2.78
Ho 0.0000 0.5000 0.5000 [1 per cell]  6 P 2.83
Er 0.5000 0.0000 0.5000 [1 per cell]  6 P 2.77
Sc 0.5000 0.5000 0.0000 [1 per cell]  6 P 2.73
P 0.2553 0.5000 0.2463 [2 per cell]  1 Sc 2.73, 2 Er 2.77, 3 Ho 2.78-2.83
P 0.2594 0.0000 0.7586 [2 per cell]  2 Sc 2.73, 1 Er 2.77, 3 Ho 2.78-2.83

***

(2)
HoErSc2P4: relaxed, PBE.

Calculated values
The value obtained for the total energy is -55.76 eV per cell. As for the magnetization: 0.0 μB per formula unit. The calculated volume comes out at 163.74 Å³/cell.

a b c (Å): 6.6902 3.8729 6.7051
angles (deg): 90.00 109.52 90.00
Last column: nearest neighbours and their distance in Å.
Space group P2/m (No. 10)
Asymmetric unit:
Ho 0.0000 0.0000 0.0000 [1 per cell]  6 P 2.79
Er 0.0000 0.5000 0.5000 [1 per cell]  6 P 2.78
Sc 0.5000 0.0000 0.5000 [1 per cell]  6 P 2.69
Sc 0.5000 0.5000 0.0000 [1 per cell]  6 P 2.69
P 0.2632 0.0000 0.7538 [2 per cell]  3 Sc 2.69, 2 Er 2.78, 1 Ho 2.79
P 0.2636 0.5000 0.2551 [2 per cell]  3 Sc 2.69, 1 Er 2.78, 2 Ho 2.79

***

(3)
HoEr2Sc3P6: relaxed, PBE.

Calculated values
The value obtained for the total energy is -167.27 eV per cell. As for the magnetization: 0.0 μB per formula unit. The calculated volume comes out at 490.40 Å³/cell.

a b c (Å): 6.7035 11.6101 6.6845
angles (deg): 90.00 109.50 90.00
Last column: nearest neighbours and their distance in Å.
Space group C2/m (No. 12)
Asymmetric unit:
Ho 0.0000 0.0000 0.0000 [2 per cell]  6 P 2.79
Er 0.0000 0.3333 0.0000 [4 per cell]  6 P 2.78
Sc 0.0000 0.1665 0.5000 [4 per cell]  6 P 2.68-2.69
Sc 0.0000 0.5000 0.5000 [2 per cell]  6 P 2.68-2.69
P 0.2452 0.3330 0.7367 [8 per cell]  3 Sc 2.68-2.69, 2 Er 2.78, 1 Ho 2.79
P 0.2462 0.0000 0.7367 [4 per cell]  3 Sc 2.68-2.69, 2 Er 2.78, 1 Ho 2.79

***

(4)
HoErPSe: relaxed, PBE.

Calculated values
As for the magnetization: 0.0 μB per formula unit. As for the raw formation energy: -1.7040 eV per atom. The calculated volume comes out at 278.63 Å³/cell.

a b c (Å): 3.9376 3.9376 20.7517
angles (deg): 90.00 90.00 120.00
Last column: nearest neighbours and their distance in Å.
Space group R3m (No. 160, hexagonal axes)
Asymmetric unit:
Ho 0.0000 0.0000 0.0000 [3 per cell]  3 P 2.77, 3 Se 3.00
Er 0.0000 0.0000 0.8148 [3 per cell]  3 P 2.72, 3 Se 2.96
P 0.0000 0.0000 0.4095 [3 per cell]  3 Er 2.72, 3 Ho 2.77
Se 0.0000 0.0000 0.2392 [3 per cell]  3 Er 2.96, 3 Ho 3.00